Compound: Pr2In9Ni3
Source: the Alexandria database
Functional: PBE
Structure: optimized geometry

a b c (Å): 8.229 8.229 11.438
angles (deg): 90.10 110.89 120.14
Element x y z (fractional)
Pr 0.334 0.248 0.749
Pr 0.666 0.752 0.251
Pr 0.000 0.586 0.751
Pr 0.000 0.414 0.249
In 0.446 0.918 0.749
In 0.554 0.082 0.251
In 0.669 0.697 0.751
In 0.331 0.303 0.249
In 0.444 0.635 0.930
In 0.556 0.365 0.070
In 0.205 0.514 0.570
In 0.795 0.486 0.430
In 0.889 0.139 0.750
In 0.111 0.861 0.250
In 0.137 0.982 0.944
In 0.863 0.018 0.056
In 0.538 0.193 0.556
In 0.462 0.807 0.444
In 0.888 0.857 0.571
In 0.112 0.143 0.429
In 0.786 0.317 0.929
In 0.214 0.683 0.071
Ni 0.500 0.000 0.000
Ni 0.500 0.500 0.500
Ni 0.832 0.167 0.500
Ni 0.168 0.833 0.500
Ni 0.168 0.333 0.000
Ni 0.832 0.667 0.000

Summary:
ΔH_f (0 K) = -0.268 eV per atom
Space-group type = C2/c, No. 15